No. 1
# LiMn | Alexandria | GGA-PBE | optimized geometry
# Density of states at the Fermi level   0.7506 states/eV/atom
# Energy of formation   0.61 eV/f.u.
# M_tot   3.30 μB/f.u.
# E_tot   -5.24 eV per atom
data_LiMn
_chemical_formula_sum 'Li2 Mn2'
_symmetry_space_group_name_H-M 'P 4/n m m'
_symmetry_Int_Tables_number 129
_cell_length_a 2.701
_cell_length_b 2.701
_cell_length_c 8.490
_cell_angle_alpha 90.00
_cell_angle_beta 90.00
_cell_angle_gamma 90.00
loop_
_symmetry_equiv_pos_as_xyz
'x,y,z'
'-x,-y,-z'
'-y+1/2,x,z'
'y+1/2,-x,-z'
'-x+1/2,-y+1/2,z'
'x+1/2,y+1/2,-z'
'y,-x+1/2,z'
'-y,x+1/2,-z'
'x+1/2,-y,-z'
'-x+1/2,y,z'
'-y,-x,-z'
'y,x,z'
'-x,y+1/2,-z'
'x,-y+1/2,z'
'y+1/2,x+1/2,-z'
'-y+1/2,-x+1/2,z'
loop_
_atom_site_label
_atom_site_fract_x
_atom_site_fract_y
_atom_site_fract_z
_atom_site_occupancy
Li1 0.250 0.250 0.147 1
Mn1 0.250 0.250 0.603 1

=====

No. 2
# LiMn | Alexandria | GGA-PBE | optimized geometry
# Density of states at the Fermi level   0.7676 states/eV/atom
# Energy of formation   1.77 eV/f.u.
# M_tot   3.80 μB/f.u.
# E_tot   -4.66 eV per atom
data_LiMn
_chemical_formula_sum 'Li2 Mn2'
_symmetry_space_group_name_H-M 'P 63/m m c'
_symmetry_Int_Tables_number 194
_symmetry_space_group_name_Hall '-P 6c 2c'
_cell_length_a 4.2294
_cell_length_b 4.2294
_cell_length_c 4.0685
_cell_angle_alpha 90.00
_cell_angle_beta 90.00
_cell_angle_gamma 120.00
loop_
_atom_site_label
_atom_site_fract_x
_atom_site_fract_y
_atom_site_fract_z
_atom_site_occupancy
Li1 0.0000 0.0000 0.0000 1
Mn1 0.3333 0.6667 0.2500 1

=====

No. 3
# LiMn2Mo | Alexandria | GGA-PBE | optimized geometry
# Density of states at the Fermi level   1.0086 states/eV/atom
# Energy of formation   1.62 eV/f.u.
# M_tot   6.47 μB/f.u.
# E_tot   -7.37 eV per atom
# Offset from the most stable computed form   14.7 kJ/mol of atoms
data_LiMn2Mo
_chemical_formula_sum 'Li1 Mn2 Mo1'
_symmetry_space_group_name_H-M 'P 4/m m m'
_symmetry_Int_Tables_number 123
_symmetry_space_group_name_Hall '-P 4 2'
_cell_length_a 2.674
_cell_length_b 2.674
_cell_length_c 8.289
_cell_angle_alpha 90.00
_cell_angle_beta 90.00
_cell_angle_gamma 90.00
loop_
_atom_site_label
_atom_site_fract_x
_atom_site_fract_y
_atom_site_fract_z
_atom_site_occupancy
Li1 0.000 0.000 0.000 1
Mn1 0.500 0.500 0.256 1
Mo1 0.000 0.000 0.500 1

=====

No. 4
# LiMn2Mo | Alexandria | GGA-PBE | optimized geometry
# Density of states at the Fermi level   1.0458 states/eV/atom
# Energy of formation   1.43 eV/f.u.
# M_tot   1.96 μB/f.u.
# E_tot   -7.41 eV per atom
# Offset from the most stable computed form   10.2 kJ/mol of atoms
data_LiMn2Mo
_chemical_formula_sum 'Li2 Mn4 Mo2'
_symmetry_space_group_name_H-M 'C 1 2/m 1'
_symmetry_Int_Tables_number 12
_cell_length_a 5.184
_cell_length_b 8.343
_cell_length_c 2.513
_cell_angle_alpha 90.00
_cell_angle_beta 112.42
_cell_angle_gamma 90.00
loop_
_symmetry_equiv_pos_as_xyz
'x,y,z'
'-x,-y,-z'
'-x,y,-z'
'x,-y,z'
'x+1/2,y+1/2,z'
'-x+1/2,-y+1/2,-z'
'-x+1/2,y+1/2,-z'
'x+1/2,-y+1/2,z'
loop_
_atom_site_label
_atom_site_fract_x
_atom_site_fract_y
_atom_site_fract_z
_atom_site_occupancy
Li1 0.000 0.000 0.000 1
Mn1 0.250 0.250 0.500 1
Mo1 0.000 0.500 0.000 1

=====

No. 5
# Li2MnMo | Alexandria | GGA-PBE | optimized geometry
# Density of states at the Fermi level   0.7299 states/eV/atom
# Energy of formation   1.63 eV/f.u.
# M_tot   0.01 μB/f.u.
# E_tot   -5.55 eV per atom
# Offset from the most stable computed form   13.1 kJ/mol of atoms
data_Li2MnMo
_chemical_formula_sum 'Li4 Mn2 Mo2'
_symmetry_space_group_name_H-M 'C 1 2/m 1'
_symmetry_Int_Tables_number 12
_cell_length_a 4.868
_cell_length_b 9.474
_cell_length_c 2.466
_cell_angle_alpha 90.00
_cell_angle_beta 106.86
_cell_angle_gamma 90.00
loop_
_symmetry_equiv_pos_as_xyz
'x,y,z'
'-x,-y,-z'
'-x,y,-z'
'x,-y,z'
'x+1/2,y+1/2,z'
'-x+1/2,-y+1/2,-z'
'-x+1/2,y+1/2,-z'
'x+1/2,-y+1/2,z'
loop_
_atom_site_label
_atom_site_fract_x
_atom_site_fract_y
_atom_site_fract_z
_atom_site_occupancy
Li1 0.250 0.250 0.000 1
Mn1 0.000 0.000 0.500 1
Mo1 0.000 0.500 0.500 1

=====

No. 6
# LiMn2Mo2 | Alexandria | GGA-PBE | optimized geometry
# Density of states at the Fermi level   0.3839 states/eV/atom
# Energy of formation   1.84 eV/f.u.
# M_tot   0.00 μB/f.u.
# E_tot   -8.01 eV per atom
# Offset from the most stable computed form   4.8 kJ/mol of atoms
data_LiMn2Mo2
_chemical_formula_sum 'Li2 Mn4 Mo4'
_symmetry_space_group_name_H-M 'P 4/m b m'
_symmetry_Int_Tables_number 127
_symmetry_space_group_name_Hall '-P 4 2ab'
_cell_length_a 7.212
_cell_length_b 7.212
_cell_length_c 2.755
_cell_angle_alpha 90.00
_cell_angle_beta 90.00
_cell_angle_gamma 90.00
loop_
_atom_site_label
_atom_site_fract_x
_atom_site_fract_y
_atom_site_fract_z
_atom_site_occupancy
Li1 0.000 0.000 0.000 1
Mn1 0.147 0.353 0.500 1
Mo1 0.150 0.650 0.000 1

=====

No. 7
# LiMn2Mo | Alexandria | GGA-PBE | optimized geometry
# Density of states at the Fermi level   1.2706 states/eV/atom
# Energy of formation   1.70 eV/f.u.
# M_tot   6.09 μB/f.u.
# E_tot   -7.35 eV per atom
# Offset from the most stable computed form   16.6 kJ/mol of atoms
data_LiMn2Mo
_chemical_formula_sum 'Li3 Mn6 Mo3'
_symmetry_space_group_name_H-M 'R -3 m'
_symmetry_Int_Tables_number 166
_symmetry_space_group_name_Hall '-R 3 2"'
_cell_length_a 2.7336
_cell_length_b 2.7336
_cell_length_c 27.5373
_cell_angle_alpha 90.00
_cell_angle_beta 90.00
_cell_angle_gamma 120.00
loop_
_atom_site_label
_atom_site_fract_x
_atom_site_fract_y
_atom_site_fract_z
_atom_site_occupancy
Li1 0.0000 0.0000 0.0000 1
Mn1 0.0000 0.0000 0.2485 1
Mo1 0.0000 0.0000 0.5000 1

=====

No. 8
# LiMnMo | Alexandria | GGA-PBE | optimized geometry
# Density of states at the Fermi level   0.8282 states/eV/atom
# Energy of formation   2.69 eV/f.u.
# M_tot   0.22 μB/f.u.
# E_tot   -6.41 eV per atom
# Offset from the most stable computed form   56.4 kJ/mol of atoms
data_LiMnMo
_chemical_formula_sum 'Li4 Mn4 Mo4'
_symmetry_space_group_name_H-M 'F -4 3 m'
_symmetry_Int_Tables_number 216
_symmetry_space_group_name_Hall 'F -4 2 3'
_cell_length_a 5.696
_cell_length_b 5.696
_cell_length_c 5.696
_cell_angle_alpha 90.00
_cell_angle_beta 90.00
_cell_angle_gamma 90.00
loop_
_atom_site_label
_atom_site_fract_x
_atom_site_fract_y
_atom_site_fract_z
_atom_site_occupancy
Li1 0.000 0.000 0.000 1
Mn1 0.250 0.250 0.250 1
Mo1 0.000 0.000 0.500 1

=====

No. 9
# LiMn2Mo | Alexandria | GGA-PBE | optimized geometry
# Density of states at the Fermi level   0.6832 states/eV/atom
# Energy of formation   1.27 eV/f.u.
# M_tot   2.86 μB/f.u.
# E_tot   -7.45 eV per atom
# Offset from the most stable computed form   6.2 kJ/mol of atoms
data_LiMn2Mo
_chemical_formula_sum 'Li4 Mn8 Mo4'
_symmetry_space_group_name_H-M 'F -4 3 m'
_symmetry_Int_Tables_number 216
_symmetry_space_group_name_Hall 'F -4 2 3'
_cell_length_a 5.899
_cell_length_b 5.899
_cell_length_c 5.899
_cell_angle_alpha 90.00
_cell_angle_beta 90.00
_cell_angle_gamma 90.00
loop_
_atom_site_label
_atom_site_fract_x
_atom_site_fract_y
_atom_site_fract_z
_atom_site_occupancy
Li1 0.000 0.000 0.000 1
Mn1 0.000 0.000 0.500 1
Mn2 0.250 0.250 0.250 1
Mo1 0.250 0.250 0.750 1

=====

No. 10
# Li2MnMo | Alexandria | GGA-PBE | optimized geometry
# Density of states at the Fermi level   0.7546 states/eV/atom
# Energy of formation   1.95 eV/f.u.
# M_tot   1.27 μB/f.u.
# E_tot   -5.47 eV per atom
# Offset from the most stable computed form   20.9 kJ/mol of atoms
data_Li2MnMo
_chemical_formula_sum 'Li4 Mn2 Mo2'
_symmetry_space_group_name_H-M 'I m m 2'
_symmetry_Int_Tables_number 44
_cell_length_a 3.259
_cell_length_b 4.504
_cell_length_c 7.474
_cell_angle_alpha 90.00
_cell_angle_beta 90.00
_cell_angle_gamma 90.00
loop_
_symmetry_equiv_pos_as_xyz
'x,y,z'
'-x,-y,z'
'-x,y,z'
'x,-y,z'
'x+1/2,y+1/2,z+1/2'
'-x+1/2,-y+1/2,z+1/2'
'-x+1/2,y+1/2,z+1/2'
'x+1/2,-y+1/2,z+1/2'
loop_
_atom_site_label
_atom_site_fract_x
_atom_site_fract_y
_atom_site_fract_z
_atom_site_occupancy
Li1 0.000 0.000 0.000 1
Li2 0.000 0.500 0.267 1
Mn1 0.000 0.500 0.765 1
Mo1 0.000 0.000 0.488 1

=====

No. 11
# LiMn2Mo | Alexandria | GGA-PBE | optimized geometry
# Density of states at the Fermi level   0.8188 states/eV/atom
# Energy of formation   1.36 eV/f.u.
# M_tot   3.26 μB/f.u.
# E_tot   -7.43 eV per atom
# Offset from the most stable computed form   8.3 kJ/mol of atoms
data_LiMn2Mo
_chemical_formula_sum 'Li1 Mn2 Mo1'
_symmetry_space_group_name_H-M 'P m m m'
_symmetry_Int_Tables_number 47
_cell_length_a 2.994
_cell_length_b 3.976
_cell_length_c 4.323
_cell_angle_alpha 90.00
_cell_angle_beta 90.00
_cell_angle_gamma 90.00
loop_
_symmetry_equiv_pos_as_xyz
'x,y,z'
'-x,-y,-z'
'-x,-y,z'
'x,y,-z'
'x,-y,-z'
'-x,y,z'
'-x,y,-z'
'x,-y,z'
loop_
_atom_site_label
_atom_site_fract_x
_atom_site_fract_y
_atom_site_fract_z
_atom_site_occupancy
Li1 0.000 0.000 0.000 1
Mn1 0.000 0.500 0.500 1
Mn2 0.500 0.500 0.000 1
Mo1 0.500 0.000 0.500 1

=====

No. 12
# LiMn2Mo | Alexandria | GGA-PBE | optimized geometry
# Density of states at the Fermi level   0.9138 states/eV/atom
# Energy of formation   1.40 eV/f.u.
# M_tot   3.89 μB/f.u.
# E_tot   -7.42 eV per atom
# Offset from the most stable computed form   9.5 kJ/mol of atoms
data_LiMn2Mo
_chemical_formula_sum 'Li2 Mn4 Mo2'
_symmetry_space_group_name_H-M 'I -4 m 2'
_symmetry_Int_Tables_number 119
_symmetry_space_group_name_Hall 'I -4 -2'
_cell_length_a 3.517
_cell_length_b 3.517
_cell_length_c 8.431
_cell_angle_alpha 90.00
_cell_angle_beta 90.00
_cell_angle_gamma 90.00
loop_
_atom_site_label
_atom_site_fract_x
_atom_site_fract_y
_atom_site_fract_z
_atom_site_occupancy
Li1 0.000 0.000 0.000 1
Mn1 0.000 0.000 0.500 1
Mn2 0.000 0.500 0.750 1
Mo1 0.000 0.500 0.250 1

=====

No. 13
# LiMn2Mo | Alexandria | GGA-PBE | optimized geometry
# Density of states at the Fermi level   0.8157 states/eV/atom
# Energy of formation   1.50 eV/f.u.
# M_tot   3.04 μB/f.u.
# E_tot   -7.40 eV per atom
# Offset from the most stable computed form   11.8 kJ/mol of atoms
data_LiMn2Mo
_chemical_formula_sum 'Li1 Mn2 Mo1'
_symmetry_space_group_name_H-M 'P 4 m m'
_symmetry_Int_Tables_number 99
_cell_length_a 2.986
_cell_length_b 2.986
_cell_length_c 5.910
_cell_angle_alpha 90.00
_cell_angle_beta 90.00
_cell_angle_gamma 90.00
loop_
_symmetry_equiv_pos_as_xyz
'x,y,z'
'-y,x,z'
'-x,-y,z'
'y,-x,z'
'-x,y,z'
'y,x,z'
'x,-y,z'
'-y,-x,z'
loop_
_atom_site_label
_atom_site_fract_x
_atom_site_fract_y
_atom_site_fract_z
_atom_site_occupancy
Li1 0.000 0.000 0.000 1
Mn1 0.000 0.000 0.495 1
Mn2 0.500 0.500 0.239 1
Mo1 0.500 0.500 0.723 1

=====

No. 14
# Li2MnMo | Alexandria | GGA-PBE | optimized geometry
# Density of states at the Fermi level   1.0480 states/eV/atom
# Energy of formation   1.67 eV/f.u.
# M_tot   3.19 μB/f.u.
# E_tot   -5.54 eV per atom
# Offset from the most stable computed form   14.1 kJ/mol of atoms
data_Li2MnMo
_chemical_formula_sum 'Li4 Mn2 Mo2'
_symmetry_space_group_name_H-M 'C m m m'
_symmetry_Int_Tables_number 65
_symmetry_space_group_name_Hall '-C 2 2'
_cell_length_a 2.929
_cell_length_b 4.264
_cell_length_c 9.578
_cell_angle_alpha 90.00
_cell_angle_beta 90.00
_cell_angle_gamma 90.00
loop_
_atom_site_label
_atom_site_fract_x
_atom_site_fract_y
_atom_site_fract_z
_atom_site_occupancy
Li1 0.000 0.000 0.244 1
Mn1 0.000 0.500 0.000 1
Mo1 0.000 0.500 0.500 1

=====

No. 15
# LiMn2Mo | Alexandria | GGA-PBE | optimized geometry
# Density of states at the Fermi level   0.8361 states/eV/atom
# Energy of formation   1.32 eV/f.u.
# M_tot   2.25 μB/f.u.
# E_tot   -7.44 eV per atom
# Offset from the most stable computed form   7.3 kJ/mol of atoms
data_LiMn2Mo
_chemical_formula_sum 'Li1 Mn2 Mo1'
_symmetry_space_group_name_H-M 'P 1 m 1'
_symmetry_Int_Tables_number 6
_cell_length_a 2.540
_cell_length_b 4.092
_cell_length_c 4.966
_cell_angle_alpha 90.00
_cell_angle_beta 99.71
_cell_angle_gamma 90.00
loop_
_symmetry_equiv_pos_as_xyz
'x,y,z'
'x,-y,z'
loop_
_atom_site_label
_atom_site_fract_x
_atom_site_fract_y
_atom_site_fract_z
_atom_site_occupancy
Li1 0.000 0.000 0.000 1
Mn1 0.501 0.000 0.488 1
Mn2 0.796 0.500 0.243 1
Mo1 0.284 0.500 0.733 1